Material: Dy2ThOs
Method: DFT, PBE-GGA
State: relaxed

CIF file:
```
data_Dy2ThOs
_symmetry_space_group_name_H-M 'P 1 21/m 1'
_symmetry_Int_Tables_number 11
_cell_length_a 3.9195
_cell_length_b 9.3138
_cell_length_c 6.3737
_cell_angle_alpha 90.00
_cell_angle_beta 107.86
_cell_angle_gamma 90.00
loop_
_symmetry_equiv_pos_as_xyz
'x,y,z'
'-x,-y,-z'
'-x,y+1/2,-z'
'x,-y+1/2,z'
loop_
_atom_site_label
_atom_site_fract_x
_atom_site_fract_y
_atom_site_fract_z
Dy1 0.1456 0.0698 0.2911
Th1 0.4240 0.2500 0.8471
Os1 0.2374 0.7500 0.4743
```

Calculated values
DFT total energy in eV/atom: -7.184
E above lowest polymorph in eV/f.u.: 0.193